YAgOs2 after structural relaxation, computed with PBE.

abc: 3.1729 4.7054 4.7171
angles: 90.00 90.00 90.00
Fractional coordinates of all 4 atoms:
Y  0.0000  0.0000  0.0000
Ag  0.5000  0.5000  0.0000
Os  0.0000  0.5000  0.5000
Os  0.5000  0.0000  0.5000

Properties
N(E_F): 1.131 states/eV/atom
calculated formation energy: 1.84 eV per formula unit
space group: Pmmm, No. 47
V: 70 Å³/cell
energy above the most stable polymorph in this dataset: 222.1 meV per atom
final energy: -7.483 eV/atom



Y3AgOs after structural relaxation, computed with PBE.

abc: 9.2681 8.4925 5.8763
angles: 78.00 63.67 38.33
Fractional coordinates of all 10 atoms:
Y  0.1955  0.1955  0.8045
Y  0.2065  0.5761  0.4239
Y  0.4239  0.7935  0.2065
Y  0.5761  0.2065  0.7935
Y  0.7935  0.4239  0.5761
Y  0.8045  0.8045  0.1955
Ag  0.2090  0.7910  0.7910
Ag  0.7910  0.2090  0.2090
Os  0.2500  0.2500  0.2500
Os  0.7500  0.7500  0.7500

Properties
N(E_F): 0.910 states/eV/atom
calculated formation energy: -1.31 eV per formula unit
space group: Fmmm, No. 69
V: 249 Å³/cell
energy above the most stable polymorph in this dataset: 0.0 meV per atom
final energy: -6.956 eV/atom



YAgOs3 after structural relaxation, computed with PBE.

abc: 4.7904 4.7904 4.7904
angles: 90.00 90.00 90.00
Fractional coordinates of all 5 atoms:
Y  0.0000  0.0000  0.0000
Ag  0.5000  0.5000  0.5000
Os  0.0000  0.5000  0.5000
Os  0.5000  0.0000  0.5000
Os  0.5000  0.5000  0.0000

Properties
N(E_F): 2.133 states/eV/atom
calculated formation energy: 11.00 eV per formula unit
space group: Pm-3m, No. 221
V: 110 Å³/cell
energy above the most stable polymorph in this dataset: 0.0 meV per atom
final energy: -6.402 eV/atom



YAgOs2 after structural relaxation, computed with PBE.

abc: 3.4647 3.4647 6.1425
angles: 90.00 90.00 90.00
Fractional coordinates of all 4 atoms:
Y  0.0000  0.0000  0.0000
Ag  0.0000  0.0000  0.5000
Os  0.5000  0.5000  0.2911
Os  0.5000  0.5000  0.7089

Properties
N(E_F): 1.420 states/eV/atom
calculated formation energy: 2.71 eV per formula unit
space group: P4/mmm, No. 123
V: 74 Å³/cell
energy above the most stable polymorph in this dataset: 438.2 meV per atom
final energy: -7.267 eV/atom



YAgOs2 after structural relaxation, computed with PBE.

abc: 2.8539 2.8539 8.6739
angles: 90.00 90.00 90.00
Fractional coordinates of all 4 atoms:
Y  0.0000  0.0000  0.0000
Ag  0.0000  0.0000  0.5000
Os  0.5000  0.5000  0.2620
Os  0.5000  0.5000  0.7380

Properties
N(E_F): 1.379 states/eV/atom
calculated formation energy: 2.90 eV per formula unit
space group: P4/mmm, No. 123
V: 71 Å³/cell
energy above the most stable polymorph in this dataset: 488.0 meV per atom
final energy: -7.218 eV/atom



Y4Ag2Os after structural relaxation, computed with PBE.

abc: 8.6644 8.6644 8.6644
angles: 33.74 33.74 33.74
Fractional coordinates of all 7 atoms:
Y  0.1200  0.1200  0.1200
Y  0.3711  0.3711  0.3711
Y  0.6289  0.6289  0.6289
Y  0.8800  0.8800  0.8800
Ag  0.2485  0.2485  0.2485
Ag  0.7515  0.7515  0.7515
Os  0.0000  0.0000  0.0000

Properties
N(E_F): 0.753 states/eV/atom
calculated formation energy: -1.26 eV per formula unit
space group: R-3m, No. 166
V: 179 Å³/cell
final energy: -6.293 eV/atom



Which of these has the lowest N(E_F)?
Y4Ag2Os